1.
Computed, not measured: a geometry-optimized Ac2NdSb3Rh4 structure at the PBE level of DFT.

Cell lengths 4.609, 4.609, 11.218 Å; angles 90.00, 90.00, 90.00 degrees
Atoms (fractional coordinates):
1 Rh 0.000 0.500 0.353
2 Rh 0.500 0.500 0.000
3 Rh 0.000 0.000 0.000
4 Rh 0.500 0.000 0.647
5 Ac 0.500 0.000 0.229
6 Ac 0.000 0.500 0.771
7 Sb 0.500 0.000 0.879
8 Sb 0.000 0.500 0.121
9 Sb 0.000 0.000 0.500
10 Nd 0.500 0.500 0.500

Computed properties:
Space-group type = P-4m2 (115)
Raw total energy = -0.2326 Ha/atom
Uncorrected formation energy = -0.85 eV/atom
Crystal system = tetragonal
Calculated volume = 23.8 A^3/atom
Total moment = 0.00 μB/f.u.

=====

2.
Computed, not measured: a geometry-optimized Li14CdIn structure at the PBE level of DFT.

Cell lengths 5.817, 5.817, 9.688 Å; angles 90.00, 90.00, 110.10 degrees
Atoms (fractional coordinates):
1 Li 0.120 0.390 0.500
2 Li 0.362 0.123 0.256
3 Li 0.377 0.623 0.256
4 Li 0.877 0.638 0.256
5 Li 0.610 0.880 0.500
6 Li 0.362 0.123 0.744
7 Li 0.877 0.638 0.744
8 Li 0.377 0.623 0.744
9 Li 0.654 0.864 0.000
10 Li 0.862 0.138 0.262
11 Li 0.862 0.138 0.738
12 Li 0.641 0.359 0.000
13 Li 0.136 0.346 0.000
14 Li 0.153 0.847 0.000
15 In 0.617 0.383 0.500
16 Cd 0.113 0.887 0.500

Computed properties:
Space-group type = Amm2 (38)
Raw total energy = -0.0733 Ha/atom
Crystal system = orthorhombic
Calculated formation energy = -91 meV/atom
Calculated volume = 19.2 A^3/atom
Total moment = 0.00 μB/f.u.

=====

3.
Computed, not measured: a geometry-optimized NaLiLa2H structure at the PBE level of DFT.

Cell lengths 4.950, 4.950, 5.353 Å; angles 90.00, 90.00, 90.00 degrees
Atoms (fractional coordinates):
1 La 0.500 0.000 0.000
2 La 0.000 0.500 0.000
3 Li 0.500 0.500 0.500
4 Na 0.000 0.000 0.500
5 H 0.000 0.000 0.000

Computed properties:
Space-group type = P4/mmm (123)
Raw total energy = -0.1211 Ha/atom
Crystal system = tetragonal
Calculated volume = 26.2 A^3/atom
Total moment = 0.00 μB/f.u.

=====

4.
Computed, not measured: a geometry-optimized Co2WCl structure at the PBE level of DFT.

Cell lengths 4.936, 4.936, 4.936 Å; angles 147.45, 127.51, 63.14 degrees
Atoms (fractional coordinates):
1 W 0.750 0.250 0.500
2 Co 0.016 0.016 0.000
3 Co 0.484 0.484 0.000
4 Cl 0.250 0.750 0.500

Computed properties:
Space-group type = Immm (71)
Raw total energy = -0.2413 Ha/atom
Uncorrected formation energy = 0.69 eV/atom
Crystal system = orthorhombic
Calculated volume = 12.7 A^3/atom
Total moment = 1.21 μB/f.u.

=====

5.
Computed, not measured: a geometry-optimized GaN2Cl4 structure at the PBE level of DFT.

Cell lengths 3.975, 4.343, 18.825 Å; angles 54.20, 54.60, 56.41 degrees
Atoms (fractional coordinates):
1 Cl 0.010 0.646 0.373
2 Cl 0.139 0.201 0.091
3 Cl 0.990 0.354 0.627
4 Cl 0.861 0.799 0.909
5 N 0.068 0.353 0.339
6 N 0.932 0.647 0.661
7 Ga 0.000 0.000 0.000

Computed properties:
Space-group type = P-1 (2)
Raw total energy = -0.1203 Ha/atom
Uncorrected formation energy = 0.59 eV/atom
Crystal system = triclinic
Calculated volume = 29.0 A^3/atom
Total moment = 3.99 μB/f.u.

=====

6.
Computed, not measured: a geometry-optimized Ag2SBr structure at the PBE level of DFT.

Cell lengths 3.852, 4.907, 4.907 Å; angles 90.00, 90.00, 89.94 degrees
Atoms (fractional coordinates):
1 Br 0.500 0.500 0.500
2 S 0.000 0.000 0.000
3 Ag 0.000 0.500 0.000
4 Ag 0.000 0.000 0.500

Computed properties:
Space-group type = P4/mmm (123)
Raw total energy = -0.1043 Ha/atom
Uncorrected formation energy = 0.04 eV/atom
Crystal system = tetragonal
Calculated volume = 23.2 A^3/atom
Total moment = 0.00 μB/f.u.

=====

7.
Computed, not measured: a geometry-optimized VCrMo6 structure at the PBE level of DFT.

Cell lengths 7.023, 7.018, 4.962 Å; angles 44.98, 44.95, 59.98 degrees
Atoms (fractional coordinates):
1 Mo 0.500 0.250 0.250
2 Mo 0.000 0.500 0.250
3 Mo 0.500 0.750 0.750
4 Mo 0.000 0.500 0.750
5 Mo 0.750 0.000 0.750
6 Mo 0.250 0.000 0.250
7 V 0.500 0.500 0.500
8 Cr 0.000 0.000 0.000

Computed properties:
Space-group type = P-1 (2)
Raw total energy = -0.3830 Ha/atom
Crystal system = triclinic
Calculated formation energy = 44 meV/atom
Calculated volume = 15.3 A^3/atom
Total moment = 0.00 μB/f.u.

=====

8.
Computed, not measured: a geometry-optimized Sr2BiH structure at the PBE level of DFT.

Cell lengths 5.046, 5.046, 6.281 Å; angles 66.32, 66.32, 60.00 degrees
Atoms (fractional coordinates):
1 Bi 0.000 0.000 0.000
2 H 0.500 0.500 0.500
3 Sr 0.238 0.238 0.285
4 Sr 0.762 0.762 0.715

Computed properties:
Space-group type = R-3m (166)
Raw total energy = -0.1173 Ha/atom
Crystal system = trigonal
Calculated volume = 30.7 A^3/atom
Total moment = 0.00 μB/f.u.

=====

9.
Computed, not measured: a geometry-optimized Tb6Pr8Sm structure at the PBE level of DFT.

Cell lengths 6.621, 9.549, 9.549 Å; angles 120.00, 90.00, 90.00 degrees
Atoms (fractional coordinates):
1 Tb 0.661 0.654 0.094
2 Tb 0.339 0.346 0.906
3 Tb 0.661 0.906 0.560
4 Tb 0.339 0.094 0.440
5 Tb 0.339 0.560 0.654
6 Tb 0.661 0.440 0.346
7 Pr 0.830 0.713 0.751
8 Pr 0.123 0.667 0.333
9 Pr 0.877 0.333 0.667
10 Pr 0.170 0.962 0.713
11 Pr 0.170 0.751 0.038
12 Pr 0.830 0.038 0.287
13 Pr 0.830 0.249 0.962
14 Pr 0.170 0.287 0.249
15 Sm 0.500 0.000 0.000

Computed properties:
Space-group type = P-3 (147)
Raw total energy = -0.1669 Ha/atom
Crystal system = trigonal
Calculated formation energy = 175 meV/atom
Calculated volume = 34.9 A^3/atom
Total moment = 0.00 μB/f.u.

=====

10.
Computed, not measured: a geometry-optimized NiTeS4 structure at the PBE level of DFT.

Cell lengths 4.712, 6.704, 9.097 Å; angles 121.50, 90.00, 90.00 degrees
Atoms (fractional coordinates):
1 S 0.805 0.414 0.769
2 S 0.695 0.914 0.769
3 S 0.305 0.086 0.231
4 S 0.845 0.384 0.135
5 S 0.195 0.586 0.231
6 S 0.345 0.116 0.865
7 S 0.155 0.616 0.865
8 S 0.655 0.884 0.135
9 Te 0.500 0.500 0.500
10 Te 0.000 0.000 0.500
11 Ni 0.000 0.000 0.000
12 Ni 0.500 0.500 0.000

Computed properties:
Space-group type = P2_1/c (14)
Raw total energy = -0.1544 Ha/atom
Uncorrected formation energy = 0.04 eV/atom
Crystal system = monoclinic
Calculated volume = 20.4 A^3/atom
Total moment = 0.00 μB/f.u.

=====

11.
Computed, not measured: a geometry-optimized Zn4TeIr structure at the PBE level of DFT.

Cell lengths 5.160, 5.160, 5.160 Å; angles 60.00, 60.00, 60.00 degrees
Atoms (fractional coordinates):
1 Zn 0.376 0.376 0.871
2 Zn 0.376 0.871 0.376
3 Zn 0.871 0.376 0.376
4 Zn 0.376 0.376 0.376
5 Te 0.000 0.000 0.000
6 Ir 0.750 0.750 0.750

Computed properties:
Space-group type = F-43m (216)
Raw total energy = -0.0961 Ha/atom
Uncorrected formation energy = 0.24 eV/atom
Crystal system = cubic
Calculated volume = 16.2 A^3/atom
Total moment = 0.00 μB/f.u.

=====

12.
Computed, not measured: a geometry-optimized Ce3Sn2Hg structure at the PBE level of DFT.

Cell lengths 3.458, 3.458, 13.596 Å; angles 90.00, 90.00, 90.00 degrees
Atoms (fractional coordinates):
1 Hg 0.500 0.500 0.500
2 Sn 0.500 0.500 0.832
3 Sn 0.500 0.500 0.168
4 Ce 0.000 0.000 0.665
5 Ce 0.000 0.000 0.335
6 Ce 0.000 0.000 0.000

Computed properties:
Space-group type = P4/mmm (123)
Raw total energy = -0.1781 Ha/atom
Crystal system = tetragonal
Calculated formation energy = -495 meV/atom
Calculated volume = 27.1 A^3/atom
Total moment = 2.90 μB/f.u.

=====

13.
Computed, not measured: a geometry-optimized InGa3Sn structure at the PBE level of DFT.

Cell lengths 5.031, 8.064, 6.778 Å; angles 116.70, 93.97, 105.16 degrees
Atoms (fractional coordinates):
1 In 0.055 0.139 0.776
2 In 0.945 0.861 0.224
3 Ga 0.253 0.512 0.243
4 Ga 0.832 0.651 0.487
5 Ga 0.336 0.661 0.961
6 Ga 0.664 0.339 0.039
7 Ga 0.747 0.488 0.757
8 Ga 0.168 0.349 0.513
9 Sn 0.448 0.876 0.714
10 Sn 0.552 0.124 0.286

Computed properties:
Space-group type = P-1 (2)
Raw total energy = -0.1145 Ha/atom
Crystal system = triclinic
Calculated formation energy = 49 meV/atom
Calculated volume = 23.1 A^3/atom
Total moment = 0.00 μB/f.u.

=====

14.
Computed, not measured: a geometry-optimized InCoPb2 structure at the PBE level of DFT.

Cell lengths 5.189, 5.189, 5.189 Å; angles 60.00, 60.00, 60.00 degrees
Atoms (fractional coordinates):
1 Pb 0.000 0.000 0.000
2 Pb 0.250 0.250 0.250
3 Co 0.500 0.500 0.500
4 In 0.750 0.750 0.750

Computed properties:
Space-group type = F-43m (216)
Raw total energy = -0.1382 Ha/atom
Crystal system = cubic
Calculated formation energy = 554 meV/atom
Calculated volume = 24.7 A^3/atom
Total moment = 1.72 μB/f.u.

=====

15.
Computed, not measured: a geometry-optimized In2MoC structure at the PBE level of DFT.

Cell lengths 8.626, 8.626, 6.449 Å; angles 48.03, 48.03, 90.00 degrees
Atoms (fractional coordinates):
1 In 0.256 0.625 0.250
2 In 0.375 0.506 0.750
3 In 0.494 0.125 0.250
4 In 0.875 0.744 0.750
5 C 0.250 0.750 0.500
6 C 0.500 0.500 0.000
7 Mo 0.000 0.000 0.000
8 Mo 0.750 0.250 0.500

Computed properties:
Space-group type = I-42d (122)
Raw total energy = -0.1994 Ha/atom
Crystal system = tetragonal
Calculated formation energy = 957 meV/atom
Calculated volume = 19.5 A^3/atom
Total moment = 0.65 μB/f.u.

=====

16.
Computed, not measured: a geometry-optimized NaTiTl2S4 structure at the PBE level of DFT.

Cell lengths 6.742, 6.743, 7.108 Å; angles 118.31, 118.32, 90.00 degrees
Atoms (fractional coordinates):
1 Tl 0.486 0.986 0.972
2 Tl 0.236 0.236 0.472
3 S 0.057 0.053 0.710
4 S 0.814 0.415 0.234
5 S 0.419 0.818 0.234
6 S 0.653 0.658 0.710
7 Na 0.986 0.486 0.972
8 Ti 0.736 0.736 0.472

Computed properties:
Space-group type = I-4 (82)
Raw total energy = -0.1683 Ha/atom
Uncorrected formation energy = -0.77 eV/atom
Crystal system = tetragonal
Calculated volume = 30.0 A^3/atom
Total moment = 0.00 μB/f.u.